ZrTaZnRe: optimized geometry, PBE.

The structure in POSCAR format:
```
ZrTaZnRe
1.0
0.000 3.265 3.265
3.265 0.000 3.265
3.265 3.265 0.000
Zr Ta Zn Re
1 1 1 1
Cartesian
0.000 0.000 0.000
3.265 3.265 3.265
1.632 1.632 1.632
4.897 4.897 4.897
```

## Properties
Formation enthalpy at 0 K   -0.128 eV/atom
Crystal system   cubic
DFT total energy   -8.659 eV per atom